Zn2CuRe | GGA-PBE | optimized geometry

ΔH_f (0 K) = 210.6 meV per atom
energy above the lowest structure with this stoichiometry = 122 meV per atom
DOS(E_F) = 1.89 states/eV/cell
mass density = 11.3 g/cm3

CIF file:
```
data_Zn2CuRe
_chemical_formula_sum 'Zn2 Cu1 Re1'
_space_group_name_H-M_alt 'P 1'
_space_group_IT_number 1
_cell_length_a 2.635
_cell_length_b 4.281
_cell_length_c 4.998
_cell_angle_alpha 90.00
_cell_angle_beta 98.60
_cell_angle_gamma 90.00
loop_
_space_group_symop_operation_xyz
'x,y,z'
loop_
_atom_site_label
_atom_site_fract_x
_atom_site_fract_y
_atom_site_fract_z
Zn1 0.000 0.000 0.000
Zn2 0.019 0.500 0.712
Cu1 0.724 0.500 0.222
Re1 0.427 0.000 0.500
```

=====

Zn2CuRe | GGA-PBE | optimized geometry

ΔH_f (0 K) = 448.6 meV per atom
energy above the lowest structure with this stoichiometry = 360 meV per atom
DOS(E_F) = 2.77 states/eV/cell
mass density = 11.3 g/cm3

CIF file:
```
data_Zn2CuRe
_chemical_formula_sum 'Zn2 Cu1 Re1'
_space_group_name_H-M_alt 'P 1'
_space_group_IT_number 1
_cell_length_a 4.294
_cell_length_b 4.294
_cell_length_c 4.294
_cell_angle_alpha 60.00
_cell_angle_beta 60.00
_cell_angle_gamma 60.00
loop_
_space_group_symop_operation_xyz
'x,y,z'
loop_
_atom_site_label
_atom_site_fract_x
_atom_site_fract_y
_atom_site_fract_z
Zn1 0.000 0.000 0.000
Zn2 0.250 0.250 0.250
Cu1 0.500 0.500 0.500
Re1 0.750 0.750 0.750
```

=====

ZnCu2Re | GGA-PBE | optimized geometry

ΔH_f (0 K) = 255.6 meV per atom
energy above the lowest structure with this stoichiometry = 126 meV per atom
DOS(E_F) = 3.76 states/eV/cell
mass density = 11.7 g/cm3

CIF file:
```
data_ZnCu2Re
_chemical_formula_sum 'Zn1 Cu2 Re1'
_space_group_name_H-M_alt 'P 1'
_space_group_IT_number 1
_cell_length_a 4.634
_cell_length_b 4.634
_cell_length_c 4.771
_cell_angle_alpha 98.80
_cell_angle_beta 98.80
_cell_angle_gamma 32.15
loop_
_space_group_symop_operation_xyz
'x,y,z'
loop_
_atom_site_label
_atom_site_fract_x
_atom_site_fract_y
_atom_site_fract_z
Zn1 0.000 0.000 0.000
Cu1 0.251 0.251 0.744
Cu2 0.749 0.749 0.256
Re1 0.500 0.500 0.500
```

=====

ZnCu2Re | GGA-PBE | optimized geometry

ΔH_f (0 K) = 412.8 meV per atom
energy above the lowest structure with this stoichiometry = 283 meV per atom
DOS(E_F) = 3.74 states/eV/cell
mass density = 11.8 g/cm3

CIF file:
```
data_ZnCu2Re
_chemical_formula_sum 'Zn1 Cu2 Re1'
_space_group_name_H-M_alt 'P 1'
_space_group_IT_number 1
_cell_length_a 4.588
_cell_length_b 4.588
_cell_length_c 4.588
_cell_angle_alpha 131.43
_cell_angle_beta 131.43
_cell_angle_gamma 71.13
loop_
_space_group_symop_operation_xyz
'x,y,z'
loop_
_atom_site_label
_atom_site_fract_x
_atom_site_fract_y
_atom_site_fract_z
Zn1 0.000 0.000 0.000
Cu1 0.250 0.750 0.500
Cu2 0.750 0.250 0.500
Re1 0.500 0.500 0.000
```

=====

ZnCuRe | GGA-PBE | optimized geometry

ΔH_f (0 K) = 195.7 meV per atom
energy above the lowest structure with this stoichiometry = 89 meV per atom
DOS(E_F) = 0.96 states/eV/cell
mass density = 12.6 g/cm3

CIF file:
```
data_ZnCuRe
_chemical_formula_sum 'Zn1 Cu1 Re1'
_space_group_name_H-M_alt 'P 1'
_space_group_IT_number 1
_cell_length_a 6.779
_cell_length_b 6.607
_cell_length_c 2.623
_cell_angle_alpha 82.41
_cell_angle_beta 75.04
_cell_angle_gamma 22.55
loop_
_space_group_symop_operation_xyz
'x,y,z'
loop_
_atom_site_label
_atom_site_fract_x
_atom_site_fract_y
_atom_site_fract_z
Zn1 0.000 0.000 0.000
Cu1 0.341 0.341 0.659
Re1 0.674 0.674 0.326
```

=====

Zn2CuRe | GGA-PBE | optimized geometry

ΔH_f (0 K) = 334.3 meV per atom
energy above the lowest structure with this stoichiometry = 246 meV per atom
DOS(E_F) = 1.44 states/eV/cell
mass density = 11.5 g/cm3

CIF file:
```
data_Zn2CuRe
_chemical_formula_sum 'Zn2 Cu1 Re1'
_space_group_name_H-M_alt 'P 1'
_space_group_IT_number 1
_cell_length_a 4.691
_cell_length_b 4.691
_cell_length_c 4.691
_cell_angle_alpha 132.41
_cell_angle_beta 132.41
_cell_angle_gamma 69.58
loop_
_space_group_symop_operation_xyz
'x,y,z'
loop_
_atom_site_label
_atom_site_fract_x
_atom_site_fract_y
_atom_site_fract_z
Zn1 0.250 0.750 0.500
Zn2 0.750 0.250 0.500
Cu1 0.000 0.000 0.000
Re1 0.500 0.500 0.000
```

=====

Zn2CuRe | GGA-PBE | optimized geometry

ΔH_f (0 K) = 204.6 meV per atom
energy above the lowest structure with this stoichiometry = 116 meV per atom
DOS(E_F) = 2.01 states/eV/cell
mass density = 11.4 g/cm3

CIF file:
```
data_Zn2CuRe
_chemical_formula_sum 'Zn2 Cu1 Re1'
_space_group_name_H-M_alt 'P 1'
_space_group_IT_number 1
_cell_length_a 2.621
_cell_length_b 4.246
_cell_length_c 5.043
_cell_angle_alpha 90.00
_cell_angle_beta 97.87
_cell_angle_gamma 90.00
loop_
_space_group_symop_operation_xyz
'x,y,z'
loop_
_atom_site_label
_atom_site_fract_x
_atom_site_fract_y
_atom_site_fract_z
Zn1 0.151 0.000 0.248
Zn2 0.849 0.000 0.752
Cu1 0.000 0.500 0.500
Re1 0.500 0.500 0.000
```

=====

ZnCuRe | GGA-PBE | optimized geometry

ΔH_f (0 K) = 1124.2 meV per atom
energy above the lowest structure with this stoichiometry = 1018 meV per atom
DOS(E_F) = 2.91 states/eV/cell
mass density = 10.2 g/cm3

CIF file:
```
data_ZnCuRe
_chemical_formula_sum 'Zn1 Cu1 Re1'
_space_group_name_H-M_alt 'P 1'
_space_group_IT_number 1
_cell_length_a 4.167
_cell_length_b 4.167
_cell_length_c 4.167
_cell_angle_alpha 60.00
_cell_angle_beta 60.00
_cell_angle_gamma 60.00
loop_
_space_group_symop_operation_xyz
'x,y,z'
loop_
_atom_site_label
_atom_site_fract_x
_atom_site_fract_y
_atom_site_fract_z
Zn1 0.000 0.000 0.000
Cu1 0.500 0.500 0.500
Re1 0.750 0.750 0.750
```

=====

Zn2CuRe | GGA-PBE | optimized geometry

ΔH_f (0 K) = 159.9 meV per atom
energy above the lowest structure with this stoichiometry = 71 meV per atom
DOS(E_F) = 1.86 states/eV/cell
mass density = 11.3 g/cm3

CIF file:
```
data_Zn2CuRe
_chemical_formula_sum 'Zn2 Cu1 Re1'
_space_group_name_H-M_alt 'P 1'
_space_group_IT_number 1
_cell_length_a 5.081
_cell_length_b 5.081
_cell_length_c 2.599
_cell_angle_alpha 101.21
_cell_angle_beta 101.21
_cell_angle_gamma 116.62
loop_
_space_group_symop_operation_xyz
'x,y,z'
loop_
_atom_site_label
_atom_site_fract_x
_atom_site_fract_y
_atom_site_fract_z
Zn1 0.000 0.500 0.000
Zn2 0.500 0.000 0.000
Cu1 0.000 0.000 0.500
Re1 0.500 0.500 0.500
```

=====

ZnCu2Re | GGA-PBE | optimized geometry

ΔH_f (0 K) = 428.7 meV per atom
energy above the lowest structure with this stoichiometry = 299 meV per atom
DOS(E_F) = 4.06 states/eV/cell
mass density = 11.8 g/cm3

CIF file:
```
data_ZnCu2Re
_chemical_formula_sum 'Zn1 Cu2 Re1'
_space_group_name_H-M_alt 'P 1'
_space_group_IT_number 1
_cell_length_a 4.600
_cell_length_b 4.600
_cell_length_c 4.600
_cell_angle_alpha 131.63
_cell_angle_beta 131.63
_cell_angle_gamma 70.81
loop_
_space_group_symop_operation_xyz
'x,y,z'
loop_
_atom_site_label
_atom_site_fract_x
_atom_site_fract_y
_atom_site_fract_z
Zn1 0.000 0.000 0.000
Cu1 0.250 0.750 0.500
Cu2 0.500 0.500 0.000
Re1 0.750 0.250 0.500
```

=====

ZnCu2Re | GGA-PBE | optimized geometry

ΔH_f (0 K) = 456.2 meV per atom
energy above the lowest structure with this stoichiometry = 327 meV per atom
DOS(E_F) = 2.79 states/eV/cell
mass density = 11.7 g/cm3

CIF file:
```
data_ZnCu2Re
_chemical_formula_sum 'Zn1 Cu2 Re1'
_space_group_name_H-M_alt 'P 1'
_space_group_IT_number 1
_cell_length_a 4.233
_cell_length_b 4.233
_cell_length_c 4.233
_cell_angle_alpha 60.00
_cell_angle_beta 60.00
_cell_angle_gamma 60.00
loop_
_space_group_symop_operation_xyz
'x,y,z'
loop_
_atom_site_label
_atom_site_fract_x
_atom_site_fract_y
_atom_site_fract_z
Zn1 0.000 0.000 0.000
Cu1 0.250 0.250 0.250
Cu2 0.750 0.750 0.750
Re1 0.500 0.500 0.500
```

=====

ZnCu2Re | GGA-PBE | optimized geometry

ΔH_f (0 K) = 713.1 meV per atom
energy above the lowest structure with this stoichiometry = 584 meV per atom
DOS(E_F) = 7.53 states/eV/cell
mass density = 10.9 g/cm3

CIF file:
```
data_ZnCu2Re
_chemical_formula_sum 'Zn2 Cu4 Re2'
_space_group_name_H-M_alt 'P 1'
_space_group_IT_number 1
_cell_length_a 9.349
_cell_length_b 9.349
_cell_length_c 9.349
_cell_angle_alpha 157.92
_cell_angle_beta 157.92
_cell_angle_gamma 31.43
loop_
_space_group_symop_operation_xyz
'x,y,z'
loop_
_atom_site_label
_atom_site_fract_x
_atom_site_fract_y
_atom_site_fract_z
Zn1 0.000 0.000 0.000
Zn2 0.750 0.250 0.500
Cu1 0.125 0.625 0.000
Cu2 0.375 0.375 0.500
Cu3 0.625 0.125 0.000
Cu4 0.875 0.875 0.500
Re1 0.250 0.750 0.500
Re2 0.500 0.500 0.000
```

=====

ZnCuRe | GGA-PBE | optimized geometry

ΔH_f (0 K) = 106.2 meV per atom
energy above the lowest structure with this stoichiometry = 0 meV per atom
DOS(E_F) = 2.17 states/eV/cell
mass density = 12.4 g/cm3

CIF file:
```
data_ZnCuRe
_chemical_formula_sum 'Zn2 Cu2 Re2'
_space_group_name_H-M_alt 'P 1'
_space_group_IT_number 1
_cell_length_a 3.078
_cell_length_b 3.078
_cell_length_c 8.890
_cell_angle_alpha 90.00
_cell_angle_beta 90.00
_cell_angle_gamma 90.00
loop_
_space_group_symop_operation_xyz
'x,y,z'
loop_
_atom_site_label
_atom_site_fract_x
_atom_site_fract_y
_atom_site_fract_z
Zn1 0.250 0.250 0.096
Zn2 0.750 0.750 0.904
Cu1 0.250 0.250 0.762
Cu2 0.750 0.750 0.238
Re1 0.250 0.250 0.423
Re2 0.750 0.750 0.577
```

=====

Zn2CuRe | GGA-PBE | optimized geometry

ΔH_f (0 K) = 178.9 meV per atom
energy above the lowest structure with this stoichiometry = 90 meV per atom
DOS(E_F) = 1.86 states/eV/cell
mass density = 11.6 g/cm3

CIF file:
```
data_Zn2CuRe
_chemical_formula_sum 'Zn2 Cu1 Re1'
_space_group_name_H-M_alt 'P 1'
_space_group_IT_number 1
_cell_length_a 3.866
_cell_length_b 3.866
_cell_length_c 3.647
_cell_angle_alpha 90.00
_cell_angle_beta 90.00
_cell_angle_gamma 90.00
loop_
_space_group_symop_operation_xyz
'x,y,z'
loop_
_atom_site_label
_atom_site_fract_x
_atom_site_fract_y
_atom_site_fract_z
Zn1 0.000 0.500 0.000
Zn2 0.500 0.000 0.000
Cu1 0.000 0.000 0.500
Re1 0.500 0.500 0.500
```

=====

ZnCuRe | GGA-PBE | optimized geometry

ΔH_f (0 K) = 192.1 meV per atom
energy above the lowest structure with this stoichiometry = 86 meV per atom
DOS(E_F) = 0.96 states/eV/cell
mass density = 12.7 g/cm3

CIF file:
```
data_ZnCuRe
_chemical_formula_sum 'Zn1 Cu1 Re1'
_space_group_name_H-M_alt 'P 1'
_space_group_IT_number 1
_cell_length_a 6.257
_cell_length_b 6.257
_cell_length_c 6.257
_cell_angle_alpha 155.80
_cell_angle_beta 155.80
_cell_angle_gamma 34.49
loop_
_space_group_symop_operation_xyz
'x,y,z'
loop_
_atom_site_label
_atom_site_fract_x
_atom_site_fract_y
_atom_site_fract_z
Zn1 0.000 0.000 0.000
Cu1 0.659 0.659 0.000
Re1 0.325 0.325 0.000
```

=====

ZnCu2Re | GGA-PBE | optimized geometry

ΔH_f (0 K) = 151.6 meV per atom
energy above the lowest structure with this stoichiometry = 22 meV per atom
DOS(E_F) = 3.59 states/eV/cell
mass density = 11.6 g/cm3

CIF file:
```
data_ZnCu2Re
_chemical_formula_sum 'Zn1 Cu2 Re1'
_space_group_name_H-M_alt 'P 1'
_space_group_IT_number 1
_cell_length_a 8.797
_cell_length_b 8.797
_cell_length_c 8.797
_cell_angle_alpha 17.56
_cell_angle_beta 17.56
_cell_angle_gamma 17.56
loop_
_space_group_symop_operation_xyz
'x,y,z'
loop_
_atom_site_label
_atom_site_fract_x
_atom_site_fract_y
_atom_site_fract_z
Zn1 0.000 0.000 0.000
Cu1 0.251 0.251 0.251
Cu2 0.749 0.749 0.749
Re1 0.500 0.500 0.500
```

=====

Zr6CuRe | GGA-PBE | optimized geometry

ΔH_f (0 K) = -118.6 meV per atom
DOS(E_F) = 7.29 states/eV/cell
mass density = 8.0 g/cm3

CIF file:
```
data_Zr6CuRe
_chemical_formula_sum 'Zr6 Cu1 Re1'
_space_group_name_H-M_alt 'P 1'
_space_group_IT_number 1
_cell_length_a 8.293
_cell_length_b 8.293
_cell_length_c 8.293
_cell_angle_alpha 147.45
_cell_angle_beta 147.45
_cell_angle_gamma 46.69
loop_
_space_group_symop_operation_xyz
'x,y,z'
loop_
_atom_site_label
_atom_site_fract_x
_atom_site_fract_y
_atom_site_fract_z
Zr1 0.108 0.608 0.500
Zr2 0.248 0.248 0.000
Zr3 0.392 0.892 0.500
Zr4 0.608 0.108 0.500
Zr5 0.752 0.752 0.000
Zr6 0.892 0.392 0.500
Cu1 0.500 0.500 0.000
Re1 0.000 0.000 0.000
```

=====

ZrCuRe3 | GGA-PBE | optimized geometry

ΔH_f (0 K) = 1443.0 meV per atom
energy above the lowest structure with this stoichiometry = 0 meV per atom
DOS(E_F) = 7.21 states/eV/cell
mass density = 13.1 g/cm3

CIF file:
```
data_ZrCuRe3
_chemical_formula_sum 'Zr1 Cu1 Re3'
_space_group_name_H-M_alt 'P 1'
_space_group_IT_number 1
_cell_length_a 4.486
_cell_length_b 4.486
_cell_length_c 4.486
_cell_angle_alpha 90.00
_cell_angle_beta 90.00
_cell_angle_gamma 90.00
loop_
_space_group_symop_operation_xyz
'x,y,z'
loop_
_atom_site_label
_atom_site_fract_x
_atom_site_fract_y
_atom_site_fract_z
Zr1 0.000 0.000 0.000
Cu1 0.500 0.500 0.500
Re1 0.000 0.500 0.500
Re2 0.500 0.000 0.500
Re3 0.500 0.500 0.000
```

=====

Zr3CuRe2 | GGA-PBE | optimized geometry

ΔH_f (0 K) = -208.0 meV per atom
DOS(E_F) = 5.86 states/eV/cell
mass density = 10.8 g/cm3

CIF file:
```
data_Zr3CuRe2
_chemical_formula_sum 'Zr3 Cu1 Re2'
_space_group_name_H-M_alt 'P 1'
_space_group_IT_number 1
_cell_length_a 3.322
_cell_length_b 3.322
_cell_length_c 9.853
_cell_angle_alpha 90.00
_cell_angle_beta 90.00
_cell_angle_gamma 90.00
loop_
_space_group_symop_operation_xyz
'x,y,z'
loop_
_atom_site_label
_atom_site_fract_x
_atom_site_fract_y
_atom_site_fract_z
Zr1 0.000 0.000 0.000
Zr2 0.000 0.000 0.329
Zr3 0.000 0.000 0.671
Cu1 0.500 0.500 0.500
Re1 0.500 0.500 0.172
Re2 0.500 0.500 0.828
```

=====

ZrCuRe | GGA-PBE | optimized geometry

ΔH_f (0 K) = 189.8 meV per atom
energy above the lowest structure with this stoichiometry = 72 meV per atom
DOS(E_F) = 2.77 states/eV/cell
mass density = 11.6 g/cm3

CIF file:
```
data_ZrCuRe
_chemical_formula_sum 'Zr1 Cu1 Re1'
_space_group_name_H-M_alt 'P 1'
_space_group_IT_number 1
_cell_length_a 6.921
_cell_length_b 6.767
_cell_length_c 2.779
_cell_angle_alpha 81.41
_cell_angle_beta 75.19
_cell_angle_gamma 23.39
loop_
_space_group_symop_operation_xyz
'x,y,z'
loop_
_atom_site_label
_atom_site_fract_x
_atom_site_fract_y
_atom_site_fract_z
Zr1 0.000 0.000 0.000
Cu1 0.674 0.674 0.326
Re1 0.326 0.326 0.674
```